1.
! Pm4RuCl5 | the Alexandria database | PBE-GGA | optimized geometry; values from VASP
&SYSTEM
  ibrav = 0, nat = 10, ntyp = 3
/
ATOMIC_SPECIES
Pm 145.00 Pm.upf
Cl 35.45 Cl.upf
Ru 101.07 Ru.upf
CELL_PARAMETERS angstrom
4.0376 0.0000 0.0000
0.0000 8.7117 -0.6308
-2.0188 -1.8830 8.8382
ATOMIC_POSITIONS angstrom
Pm 2.0188 0.2174 2.6098
Pm 0.0000 6.6113 5.5976
Pm 2.0188 4.8090 8.3184
Pm 0.0000 2.0197 -0.1110
Cl 2.0188 4.6106 5.4292
Cl 2.0188 -0.0569 5.7338
Cl 0.0000 2.2181 2.7782
Cl 2.0188 4.3559 -0.3154
Cl 0.0000 6.8856 2.4736
Ru 2.0188 0.0000 0.0000
! Raw total energy: -5.35 eV/atom
! Spin magnetization: 0.081 Bohr magnetons per cell
! DOS at the Fermi energy: 5.46 states/eV/f.u.
! Symmetry: No. 12
! Energy relative to the elements, uncorrected: -1.60 eV per atom
! V: 306.1 Å³/f.u.

=====

2.
! PmRuCl | the Alexandria database | PBE-GGA | optimized geometry; values from VASP
&SYSTEM
  ibrav = 0, nat = 6, ntyp = 3
/
ATOMIC_SPECIES
Ru 101.07 Ru.upf
Cl 35.45 Cl.upf
Pm 145.00 Pm.upf
CELL_PARAMETERS angstrom
-3.2154 -2.1577 -1.5884
0.1697 -1.4152 -3.9352
3.4300 -10.3920 1.6594
ATOMIC_POSITIONS angstrom
Ru 1.2499 -5.8795 -0.0574
Ru -0.8656 -8.0855 -3.8068
Cl 0.7062 -11.3389 -2.5690
Cl -0.3219 -2.6260 -1.2952
Pm -0.6549 -5.2291 -2.5992
Pm 1.0393 -8.7358 -1.2650
! Raw total energy: -6.40 eV/atom
! Spin magnetization: 0.000 Bohr magnetons per cell
! DOS at the Fermi energy: 1.90 states/eV/f.u.
! Symmetry: No. 166
! Energy relative to the elements, uncorrected: -1.10 eV per atom
! V: 81.9 Å³/f.u.

=====

3.
! Pm5Ru2Cl2 | the Alexandria database | PBE-GGA | optimized geometry; values from VASP
&SYSTEM
  ibrav = 0, nat = 18, ntyp = 3
/
ATOMIC_SPECIES
Cl 35.45 Cl.upf
Pm 145.00 Pm.upf
Ru 101.07 Ru.upf
CELL_PARAMETERS angstrom
-6.7165 -2.7212 3.3816
1.1070 -7.0720 -3.4923
3.4733 1.1607 7.8326
ATOMIC_POSITIONS angstrom
Cl -1.0383 -2.7291 5.1974
Cl -1.0979 -5.9034 2.5246
Cl 2.8734 -4.9045 1.7604
Cl 1.7069 -1.0068 2.5799
Pm -2.4375 -5.2340 7.0037
Pm -0.4758 -7.4736 -0.3580
Pm -2.8047 -4.8966 -0.0553
Pm 0.0000 0.0000 0.0000
Pm -1.6604 -1.1589 8.0799
Pm 1.1302 -5.2114 4.6522
Pm -4.0435 -7.4962 1.9936
Pm -3.2664 -3.4211 3.0698
Pm 0.3013 -3.3985 0.7182
Pm 1.9073 -1.1363 5.7284
Ru -5.3720 -4.8701 1.6536
Ru -2.2533 -1.9796 0.7182
Ru -0.2374 -4.9232 -1.7642
Ru -3.3562 -7.8136 -0.8288
! Raw total energy: -5.86 eV/atom
! Spin magnetization: 0.000 Bohr magnetons per cell
! DOS at the Fermi energy: 7.50 states/eV/f.u.
! Symmetry: No. 64
! Energy relative to the elements, uncorrected: -0.75 eV per atom
! V: 244.4 Å³/f.u.

=====

4.
! PmRuCl6 | the Alexandria database | PBE-GGA | optimized geometry; values from VASP
&SYSTEM
  ibrav = 0, nat = 8, ntyp = 3
/
ATOMIC_SPECIES
Cl 35.45 Cl.upf
Pm 145.00 Pm.upf
Ru 101.07 Ru.upf
CELL_PARAMETERS angstrom
6.4190 0.0085 0.0099
3.2028 5.5615 0.0131
3.1990 1.8485 5.8305
ATOMIC_POSITIONS angstrom
Cl 7.6672 1.8177 4.4780
Cl 8.6786 3.8563 1.3786
Cl 5.1536 5.6009 1.3755
Cl 7.4165 5.7418 4.4830
Cl 4.1422 3.5623 4.4749
Cl 5.4043 1.6767 1.3705
Pm 6.4104 3.7093 2.9268
Ru 0.0000 0.0000 0.0000
! Raw total energy: -4.42 eV/atom
! Spin magnetization: 1.017 Bohr magnetons per cell
! DOS at the Fermi energy: 7.16 states/eV/f.u.
! Symmetry: No. 148
! Energy relative to the elements, uncorrected: -1.28 eV per atom
! V: 207.7 Å³/f.u.

=====

5.
! Pm2RuCl | the Alexandria database | PBE-GGA | optimized geometry; values from VASP
&SYSTEM
  ibrav = 0, nat = 4, ntyp = 3
/
ATOMIC_SPECIES
Cl 35.45 Cl.upf
Pm 145.00 Pm.upf
Ru 101.07 Ru.upf
CELL_PARAMETERS angstrom
4.1214 -0.2780 -0.4629
-2.2917 3.4225 0.4655
-0.8075 -1.6271 7.9284
ATOMIC_POSITIONS angstrom
Cl -2.0781 1.6732 4.7120
Pm 0.7512 0.0418 6.6459
Pm 1.5137 -0.3976 1.8515
Ru -0.5243 0.7746 0.5154
! Raw total energy: -6.03 eV/atom
! Spin magnetization: 0.000 Bohr magnetons per cell
! DOS at the Fermi energy: 1.22 states/eV/f.u.
! Offset from the most stable computed form: 0.021 eV/atom
! Symmetry: No. 2
! Energy relative to the elements, uncorrected: -0.87 eV per atom
! V: 107.0 Å³/f.u.

=====

6.
! Pm2RuCl | the Alexandria database | PBE-GGA | optimized geometry; values from VASP
&SYSTEM
  ibrav = 0, nat = 4, ntyp = 3
/
ATOMIC_SPECIES
Cl 35.45 Cl.upf
Pm 145.00 Pm.upf
Ru 101.07 Ru.upf
CELL_PARAMETERS angstrom
3.4124 0.0000 0.0000
0.0000 3.4124 0.0000
0.0000 0.0000 8.0772
ATOMIC_POSITIONS angstrom
Cl 1.7062 1.7062 4.0386
Pm 0.0000 0.0000 1.7461
Pm 0.0000 0.0000 6.3311
Ru 1.7062 1.7062 0.0000
! Raw total energy: -6.01 eV/atom
! Spin magnetization: 0.000 Bohr magnetons per cell
! DOS at the Fermi energy: 1.87 states/eV/f.u.
! Offset from the most stable computed form: 0.035 eV/atom
! Symmetry: No. 123
! Energy relative to the elements, uncorrected: -0.86 eV per atom
! V: 94.1 Å³/f.u.

=====

7.
! Pm2RuCl | the Alexandria database | PBE-GGA | optimized geometry; values from VASP
&SYSTEM
  ibrav = 0, nat = 4, ntyp = 3
/
ATOMIC_SPECIES
Pm 145.00 Pm.upf
Cl 35.45 Cl.upf
Ru 101.07 Ru.upf
CELL_PARAMETERS angstrom
-0.9805 -2.2410 2.3035
2.2326 -1.2676 2.1676
-1.5176 6.0887 7.7279
ATOMIC_POSITIONS angstrom
Pm -1.0120 4.1922 6.0980
Pm 0.7465 -1.6120 6.1010
Cl -0.1327 1.2901 6.0995
Ru 0.0000 0.0000 0.0000
! Raw total energy: -5.35 eV/atom
! Spin magnetization: 0.000 Bohr magnetons per cell
! DOS at the Fermi energy: 2.51 states/eV/f.u.
! Offset from the most stable computed form: 0.697 eV/atom
! Symmetry: No. 166
! Energy relative to the elements, uncorrected: -0.19 eV per atom
! V: 95.5 Å³/f.u.

=====

8.
! Pm3RuSCl | the Alexandria database | PBE-GGA | optimized geometry; values from VASP
&SYSTEM
  ibrav = 0, nat = 12, ntyp = 4
/
ATOMIC_SPECIES
Cl 35.45 Cl.upf
Ru 101.07 Ru.upf
Pm 145.00 Pm.upf
S 32.06 S.upf
CELL_PARAMETERS angstrom
-1.8555 0.4539 3.2506
1.5062 -7.4312 1.8974
7.9420 7.3481 3.5073
ATOMIC_POSITIONS angstrom
Cl 4.7173 3.6994 3.2694
Cl 2.8753 -3.3286 5.3859
Ru 2.4200 -0.0718 2.4846
Ru 5.1727 0.4426 6.1707
Pm 7.6997 -1.1351 5.6468
Pm -0.1070 1.5059 3.0085
Pm 3.0468 1.7559 4.7738
Pm 4.5459 -1.3851 3.8815
Pm 0.6731 -2.0368 3.9485
Pm 6.9195 2.4076 4.7068
S 1.3859 -4.4359 2.5038
S 6.2068 4.8068 6.1515
! Raw total energy: -6.07 eV/atom
! Spin magnetization: 0.000 Bohr magnetons per cell
! DOS at the Fermi energy: 4.43 states/eV/f.u.
! Symmetry: No. 11
! Energy relative to the elements, uncorrected: -1.16 eV per atom
! V: 153.2 Å³/f.u.

=====

9.
! Pm3RuSeCl | the Alexandria database | PBE-GGA | optimized geometry; values from VASP
&SYSTEM
  ibrav = 0, nat = 12, ntyp = 4
/
ATOMIC_SPECIES
Pm 145.00 Pm.upf
Ru 101.07 Ru.upf
Cl 35.45 Cl.upf
Se 78.96 Se.upf
CELL_PARAMETERS angstrom
-0.2542 3.5331 2.2469
-10.2001 -2.1407 2.2121
3.8803 -3.5999 6.0996
ATOMIC_POSITIONS angstrom
Pm -0.0396 0.1022 5.7082
Pm -2.4276 -2.8180 6.1143
Pm -4.1465 0.6105 4.4443
Pm -7.6292 1.0340 3.3844
Pm 1.0552 -3.2414 7.1741
Pm -6.5344 -2.3097 4.8503
Ru -5.7329 -0.7878 2.5480
Ru -0.8411 -1.4196 8.0106
Cl 2.1848 -1.7119 4.8969
Cl -8.7589 -0.4955 5.6616
Se -4.8702 -1.0346 6.9493
Se -1.7039 -1.1729 3.6093
! Raw total energy: -5.99 eV/atom
! Spin magnetization: 0.000 Bohr magnetons per cell
! DOS at the Fermi energy: 4.04 states/eV/f.u.
! Symmetry: No. 11
! Energy relative to the elements, uncorrected: -1.18 eV per atom
! V: 176.3 Å³/f.u.

=====

10.
! Pm4Te2RuCl | the Alexandria database | PBE-GGA | optimized geometry; values from VASP
&SYSTEM
  ibrav = 0, nat = 8, ntyp = 4
/
ATOMIC_SPECIES
Pm 145.00 Pm.upf
Ru 101.07 Ru.upf
Te 127.60 Te.upf
Cl 35.45 Cl.upf
CELL_PARAMETERS angstrom
4.2061 0.0000 0.0000
0.0000 7.6865 -0.3321
0.0000 2.5421 7.0584
ATOMIC_POSITIONS angstrom
Pm 2.1031 4.0440 4.9630
Pm 0.0001 7.4279 4.9223
Pm 2.1031 6.1845 1.7632
Pm 4.2061 2.8006 1.8039
Ru 0.0000 5.1142 3.3632
Te 2.1030 1.2710 3.5292
Te 0.0000 2.5421 7.0584
Cl 2.1031 6.3853 6.8923
! Raw total energy: -5.65 eV/atom
! Spin magnetization: 0.000 Bohr magnetons per cell
! DOS at the Fermi energy: 5.88 states/eV/f.u.
! Symmetry: No. 10
! Energy relative to the elements, uncorrected: -1.10 eV per atom
! V: 231.7 Å³/f.u.

=====

11.
! Pm3TeRuCl | the Alexandria database | PBE-GGA | optimized geometry; values from VASP
&SYSTEM
  ibrav = 0, nat = 12, ntyp = 4
/
ATOMIC_SPECIES
Cl 35.45 Cl.upf
Pm 145.00 Pm.upf
Ru 101.07 Ru.upf
Te 127.60 Te.upf
CELL_PARAMETERS angstrom
-1.1582 -4.0906 -0.5816
8.1418 -1.9660 -2.3856
1.3030 -1.7214 9.5118
ATOMIC_POSITIONS angstrom
Cl 6.6664 -5.4787 1.5144
Cl 1.6203 -2.2993 5.0302
Pm 2.3733 -4.0878 0.2809
Pm 5.9085 -4.8773 -1.2059
Pm 5.9134 -3.6902 6.2637
Pm 2.3782 -2.9007 7.7506
Pm 5.5702 -2.9935 2.0472
Pm 2.7164 -4.7845 4.4975
Ru 4.5756 -2.3614 -0.4180
Ru 3.7110 -5.4166 6.9626
Te 7.5390 -6.2439 5.1580
Te 0.7477 -1.5341 1.3866
! Raw total energy: -5.71 eV/atom
! Spin magnetization: 0.000 Bohr magnetons per cell
! DOS at the Fermi energy: 2.05 states/eV/f.u.
! Symmetry: No. 11
! Energy relative to the elements, uncorrected: -0.96 eV per atom
! V: 181.3 Å³/f.u.